The following is a DFT calculation (GGA-PBE) of an optimized crystal structure of MgCdGe.

As for the magnetization: 0.00 Bohr magnetons per cell. The calculation puts the formation energy at 61.4 meV/atom.

The space group is P-1 (No. 2) and the conventional cell measures 5.135, 5.232 and 5.795 Å, with angles of 76.25, 68.55 and 62.41 degrees. The distinct sites, in fractional coordinates, are Mg at (0.127, 0.240, 0.290), Cd at (0.481, 0.581, 0.239) and Ge at (0.182, 0.074, 0.791).